# TcHgNF2 PBE optimized geometry
# M_tot, μB/cell: 4.4
# Space group: No. 123
# Volume, Å³ per cell: 85.0
# Uncorrected formation energy, eV per atom: 0.715
# Calculated total energy, Ry per atom: -0.2817
# Energy above the lowest structure with this stoichiometry, kcal/mol of atoms: 28.97
data_TcHgNF2
_chemical_formula_sum 'Tc1 Hg1 N1 F2'
_cell_length_a 4.477
_cell_length_b 4.477
_cell_length_c 4.242
_cell_angle_alpha 90.00
_cell_angle_beta 90.00
_cell_angle_gamma 90.00
_space_group_name_H-M_alt 'P 1'
_space_group_IT_number 1
loop_
_space_group_symop_operation_xyz
'x,y,z'
loop_
_atom_site_label
_atom_site_fract_x
_atom_site_fract_y
_atom_site_fract_z
Tc1 0.000 0.000 0.000
Hg1 0.500 0.500 0.500
N1 0.500 0.500 0.000
F1 0.000 0.500 0.500
F2 0.500 0.000 0.500